[1]
The following is a PBE calculation of TbY2TmTe5 after structural relaxation, from Alexandria via LeMat-Bulk.

Results
energy relative to the elements, uncorrected = -0.640 eV per atom

```
TbY2TmTe5
1.0
5.572 0.000 0.000
0.000 5.572 0.000
0.000 0.000 11.474
Tb Y Tm Te
1 2 1 5
Direct
0.000 0.000 0.500
0.500 0.500 0.349
0.500 0.500 0.651
0.000 0.000 0.000
0.000 0.500 0.500
0.500 0.000 0.500
0.000 0.000 0.756
0.000 0.000 0.244
0.500 0.500 0.000
```


[2]
The following is a PBE calculation of Y2ThSc2 after structural relaxation, from Alexandria via LeMat-Bulk.

Results
energy relative to the lowest polymorph listed for this composition = 18 meV/atom

```
Y2ThSc2
1.0
3.507 0.000 0.000
-1.753 3.037 0.000
0.000 0.000 13.714
Y Th Sc
2 1 2
Direct
0.333 0.667 0.893
0.667 0.333 0.107
0.000 0.000 0.500
0.667 0.333 0.693
0.333 0.667 0.307
```


[3]
The following is a PBE calculation of Dy12Er2In after structural relaxation, from Alexandria via LeMat-Bulk.

Results
energy = -4.42 eV/atom

```
Dy12Er2In
1.0
6.452 -1.472 0.266
-1.472 6.452 0.266
1.192 1.192 23.848
Dy Er In
24 4 2
Direct
0.459 0.390 0.807
0.890 0.959 0.807
0.633 0.675 0.935
0.264 0.764 0.850
0.971 0.954 0.325
0.236 0.736 0.150
0.852 0.352 0.572
0.454 0.471 0.325
0.175 0.133 0.935
0.867 0.825 0.065
0.358 0.336 0.557
0.648 0.148 0.428
0.046 0.029 0.675
0.142 0.164 0.443
0.325 0.367 0.065
0.664 0.642 0.443
0.836 0.858 0.557
0.041 0.110 0.193
0.326 0.826 0.580
0.529 0.546 0.675
0.744 0.244 0.899
0.610 0.541 0.193
0.174 0.674 0.420
0.756 0.256 0.101
0.498 0.998 0.266
0.976 0.476 0.287
0.002 0.502 0.734
0.524 0.024 0.713
0.443 0.943 0.017
0.057 0.557 0.983
```


[4]
The following is a PBE calculation of KBeGa2Pt after structural relaxation, from Alexandria via LeMat-Bulk.

Results
energy = -3.51 eV/atom

```
KBeGa2Pt
1.0
4.909 0.000 0.000
0.000 4.909 0.000
0.000 0.000 4.573
Be K Ga Pt
1 1 2 1
Direct
0.000 0.000 0.500
0.500 0.500 0.500
0.000 0.500 0.000
0.500 0.000 0.000
0.000 0.000 0.000
```